Below is a geometry-optimized Er2Sc3Ru4 structure, with properties calculated at the PBE-GGA level.

Properties
* DOS at the Fermi energy: 4.17 states/eV/f.u.
* VASP energy: -0.283 hartree per atom

a = 4.6654 Å, b = 4.6654 Å, c = 8.9129 Å
α = 90.00°, β = 90.00°, γ = 120.00°
With the nearest neighbours (Å) after each atom.
Fractional coordinates of all 9 atoms:
Er 0.3333 0.6667 0.2910  7 Ru 2.83-2.99
Er 0.6667 0.3333 0.7090  7 Ru 2.83-2.99
Sc 0.0000 0.0000 0.5000  8 Ru 2.86-3.15
Sc 0.3333 0.6667 0.9112  4 Ru 2.70-2.74
Sc 0.6667 0.3333 0.0888  4 Ru 2.70-2.74
Ru 0.0000 0.0000 0.1463  1 Ru 2.61, 3 Sc 2.74
Ru 0.0000 0.0000 0.8537  1 Ru 2.61, 3 Sc 2.74
Ru 0.3333 0.6667 0.6081  4 Sc 2.70-2.86, 4 Er 2.83-2.84
Ru 0.6667 0.3333 0.3919  4 Sc 2.70-2.86, 4 Er 2.83-2.84